# 1
{
  "formula": "AgBi4S5",
  "functional": "GGA-PBE",
  "state": "relaxed",
  "space_group": "I4 (79)",
  "cell": [[5.9370, 0.0000, 0.0000], [2.9685, 6.5041, 0.0000], [2.9685, 0.0000, 6.5041]],
  "species": ["Ag", "Bi", "Bi", "Bi", "Bi", "S", "S", "S", "S", "S"],
  "frac_coords": [[0.0265, 0.0000, 0.0000], [0.4020, 0.3942, 0.8011], [0.7963, 0.8011, 0.6058], [0.2031, 0.1989, 0.3942], [0.5974, 0.6058, 0.1989], [0.9008, 0.4028, 0.7910], [0.3036, 0.7910, 0.5972], [0.6918, 0.2090, 0.4028], [0.0946, 0.5972, 0.2090], [0.4941, 0.0000, 0.0000]]
}

***

# 2
{
  "formula": "AgBiS",
  "functional": "GGA-PBE",
  "state": "relaxed",
  "space_group": "P2_1/m (11)",
  "cell": [[4.5683, -0.5468, 0.0007], [0.5594, 4.6584, 0.0447], [0.0049, 0.0643, 7.3459]],
  "species": ["Ag", "Ag", "Bi", "Bi", "S", "S"],
  "frac_coords": [[0.4808, 0.9381, 0.8845], [0.9810, 0.5476, 0.8729], [0.9798, 0.9637, 0.3983], [0.4802, 0.5219, 0.3595], [0.9806, 0.0418, 0.0443], [0.4808, 0.4440, 0.7134]]
}

***

# 3
{
  "formula": "Ag5Bi3S12",
  "functional": "GGA-PBE",
  "state": "relaxed",
  "space_group": "Ia-3d (230)",
  "cell": [[-11.3084, 3.7644, -6.2662], [1.9216, -13.2109, -1.7590], [-1.0566, 2.6695, 13.1557]],
  "species": ["Bi", "Bi", "Bi", "Bi", "Bi", "Bi", "Bi", "Bi", "Bi", "Bi", "Bi", "Bi", "Ag", "Ag", "Ag", "Ag", "Ag", "Ag", "Ag", "Ag", "Ag", "Ag", "Ag", "Ag", "Ag", "Ag", "Ag", "Ag", "Ag", "Ag", "Ag", "Ag", "S", "S", "S", "S", "S", "S", "S", "S", "S", "S", "S", "S", "S", "S", "S", "S", "S", "S", "S", "S", "S", "S", "S", "S", "S", "S", "S", "S", "S", "S", "S", "S", "S", "S", "S", "S", "S", "S", "S", "S", "S", "S", "S", "S", "S", "S", "S", "S"],
  "frac_coords": [[0.7500, 0.3750, 0.1250], [0.8750, 0.7500, 0.1250], [0.3750, 0.7500, 0.6250], [0.2500, 0.1250, 0.3750], [0.8750, 0.1250, 0.2500], [0.3750, 0.6250, 0.2500], [0.6250, 0.3750, 0.7500], [0.1250, 0.8750, 0.7500], [0.7500, 0.8750, 0.6250], [0.6250, 0.2500, 0.3750], [0.1250, 0.2500, 0.8750], [0.2500, 0.6250, 0.8750], [0.1250, 0.3750, 0.2500], [0.0000, 0.5000, 0.0000], [0.0000, 0.0000, 0.0000], [0.3750, 0.2500, 0.1250], [0.5000, 0.0000, 0.5000], [0.5000, 0.5000, 0.0000], [0.1250, 0.7500, 0.3750], [0.7500, 0.1250, 0.8750], [0.7500, 0.6250, 0.3750], [0.3750, 0.1250, 0.7500], [0.6250, 0.8750, 0.2500], [0.5000, 0.5000, 0.5000], [0.5000, 0.0000, 0.0000], [0.0000, 0.0000, 0.5000], [0.2500, 0.3750, 0.6250], [0.2500, 0.8750, 0.1250], [0.0000, 0.5000, 0.5000], [0.8750, 0.2500, 0.6250], [0.6250, 0.7500, 0.8750], [0.8750, 0.6250, 0.7500], [0.7092, 0.1291, 0.0396], [0.3304, 0.5396, 0.4105], [0.9604, 0.3709, 0.2908], [0.5396, 0.2092, 0.1291], [0.5801, 0.7092, 0.6696], [0.9604, 0.5895, 0.1696], [0.3304, 0.7908, 0.4199], [0.0895, 0.9199, 0.1291], [0.5895, 0.9604, 0.6696], [0.7092, 0.5801, 0.1696], [0.7908, 0.4604, 0.3709], [0.8304, 0.9105, 0.0396], [0.1291, 0.7092, 0.5396], [0.3709, 0.4105, 0.0801], [0.0801, 0.9105, 0.3709], [0.4199, 0.1291, 0.5895], [0.0801, 0.1696, 0.2092], [0.4604, 0.6696, 0.0895], [0.8304, 0.9199, 0.2908], [0.1291, 0.4199, 0.0895], [0.3709, 0.9604, 0.7908], [0.5895, 0.6291, 0.4199], [0.9105, 0.8304, 0.5396], [0.7908, 0.3304, 0.9199], [0.4105, 0.3709, 0.5801], [0.0895, 0.1696, 0.4604], [0.2092, 0.6696, 0.0801], [0.1696, 0.0801, 0.7092], [0.6291, 0.0396, 0.2092], [0.8709, 0.5801, 0.9105], [0.5396, 0.3304, 0.9105], [0.5801, 0.8709, 0.4105], [0.9199, 0.8304, 0.7908], [0.9199, 0.0895, 0.6291], [0.8709, 0.2908, 0.4604], [0.1696, 0.0895, 0.9604], [0.6291, 0.5895, 0.9199], [0.4105, 0.0396, 0.3304], [0.2908, 0.4199, 0.8304], [0.2092, 0.5396, 0.6291], [0.9105, 0.0801, 0.8709], [0.6696, 0.2092, 0.5801], [0.4604, 0.7908, 0.8709], [0.0396, 0.4105, 0.8304], [0.4199, 0.2908, 0.3304], [0.0396, 0.6291, 0.7092], [0.6696, 0.4604, 0.5895], [0.2908, 0.8709, 0.9604]]
}

***

# 4
{
  "formula": "AgBiS2",
  "functional": "GGA-PBE",
  "state": "relaxed",
  "space_group": "P4/mmm (123)",
  "cell": [[4.0492, 0.0000, 0.0000], [0.0000, 4.0492, 0.0000], [0.0000, 0.0000, 5.5168]],
  "species": ["Ag", "Bi", "S", "S"],
  "frac_coords": [[0.5000, 0.5000, 0.0000], [0.0000, 0.0000, 0.5000], [0.0000, 0.0000, 0.0000], [0.5000, 0.5000, 0.5000]]
}

***

# 5
{
  "formula": "Ag12BiS6",
  "functional": "GGA-PBE",
  "state": "relaxed",
  "space_group": "R-3 (148)",
  "cell": [[-3.0318, 5.6146, -5.6156], [-0.4470, -8.3526, -1.5116], [-5.2546, -4.9641, 4.4718]],
  "species": ["Ag", "Ag", "Ag", "Ag", "Ag", "Ag", "Ag", "Ag", "Ag", "Ag", "Ag", "Ag", "Bi", "S", "S", "S", "S", "S", "S"],
  "frac_coords": [[0.4311, 0.8431, 0.4270], [0.1569, 0.4270, 0.5689], [0.5730, 0.5689, 0.8431], [0.5689, 0.1569, 0.5730], [0.8431, 0.5730, 0.4311], [0.4270, 0.4311, 0.1569], [0.7989, 0.9583, 0.3486], [0.3486, 0.7989, 0.0417], [0.9583, 0.6514, 0.7989], [0.2011, 0.0417, 0.6514], [0.6514, 0.2011, 0.9583], [0.0417, 0.3486, 0.2011], [0.0000, 0.0000, 0.0000], [0.1134, 0.6645, 0.2339], [0.6645, 0.7661, 0.1134], [0.2339, 0.1134, 0.3355], [0.8866, 0.3355, 0.7661], [0.3355, 0.2339, 0.8866], [0.7661, 0.8866, 0.6645]]
}

***

# 6
{
  "formula": "Ag4BiS5",
  "functional": "GGA-PBE",
  "state": "relaxed",
  "space_group": "I4/m (87)",
  "cell": [[5.4198, 0.0000, 0.0000], [2.7099, 6.0742, 0.0000], [2.7099, 0.0000, 6.0742]],
  "species": ["Ag", "Ag", "Ag", "Ag", "Bi", "S", "S", "S", "S", "S"],
  "frac_coords": [[0.3952, 0.4058, 0.8057], [0.8010, 0.8057, 0.5942], [0.2010, 0.1943, 0.4058], [0.6068, 0.5942, 0.1943], [0.0011, 0.0000, 0.0000], [0.9003, 0.4088, 0.7926], [0.3091, 0.7926, 0.5912], [0.6929, 0.2074, 0.4088], [0.1017, 0.5912, 0.2074], [0.5012, 0.0000, 0.0000]]
}

***

Calculated raw formation energy (kJ per mole of atoms), listed in the same order as above: -10.9, -4.0, 15.0, -13.1, 6.4, -1.5
Calculated uncorrected energy (eV/atom), listed in the same order as above: -4.015, -3.661, -3.616, -3.883, -3.242, -3.608